# 1
A plane-wave DFT calculation with PBE-GGA was carried out for a relaxed AcTbGa2Cu2 crystal.

POSCAR file:
```
AcTbGa2Cu2
1.0
4.4701 0.0000 0.0000
-2.2351 3.8712 0.0000
0.0000 0.0000 7.6022
Ac Tb Ga Cu
1 1 2 2
direct
0.0000 0.0000 0.0000 Ac
0.0000 0.0000 0.5000 Tb
0.3333 0.6667 0.2916 Ga
0.6667 0.3333 0.7084 Ga
0.3333 0.6667 0.6989 Cu
0.6667 0.3333 0.3011 Cu
```

Properties
energy relative to the elements	-452	meV/atom
total magnetic moment	0.00	μB per atom
V	131.6	Å³/cell
ρ	8236	kg/m3

# 2
A plane-wave DFT calculation with PBE-GGA was carried out for a relaxed TiCo2Sn crystal.

POSCAR file:
```
TiCo2Sn
1.0
3.1130 0.0000 0.0000
0.0000 3.1130 0.0000
0.0000 0.0000 5.9026
Ti Co Sn
1 2 1
direct
0.0000 0.0000 0.0000 Ti
0.5000 0.5000 0.2290 Co
0.5000 0.5000 0.7710 Co
0.0000 0.0000 0.5000 Sn
```

Properties
energy relative to the elements	-228	meV/atom
total magnetic moment	0.37	μB per atom
V	57.2	Å³/cell
ρ	8257	kg/m3

# 3
A plane-wave DFT calculation with PBE-GGA was carried out for a relaxed Mn3SiH crystal.

POSCAR file:
```
Mn3SiH
1.0
4.2262 -2.4850 0.0000
4.2262 2.4850 0.0000
-0.2537 0.0000 4.4853
Mn Si H
6 2 2
direct
0.0000 0.0000 0.0000 Mn
0.0198 0.5020 0.8138 Mn
0.2716 0.7393 0.4781 Mn
0.5020 0.0198 0.8138 Mn
0.7393 0.2716 0.4781 Mn
0.7642 0.7642 0.2975 Mn
0.2527 0.2527 0.3062 Si
0.5180 0.5180 0.9754 Si
0.1141 0.1141 0.6927 H
0.8777 0.8777 0.6472 H
```

Properties
total magnetic moment	0.27	μB per atom
V	94.2	Å³/cell
energy above the most stable polymorph in this dataset	0.084	eV per atom
ρ	6836	kg/m3

# 4
A plane-wave DFT calculation with PBE-GGA was carried out for a relaxed CePm3Pa2N6 crystal.

POSCAR file:
```
CePm3Pa2N6
1.0
3.0889 -5.3496 0.0000
3.0889 5.3496 0.0000
-2.0577 0.0000 5.8217
Ce Pm Pa N
1 3 2 6
direct
0.0000 0.0000 0.0000 Ce
0.1653 0.8347 0.5000 Pm
0.5000 0.5000 0.5000 Pm
0.8347 0.1653 0.5000 Pm
0.3331 0.6669 0.0000 Pa
0.6669 0.3331 0.0000 Pa
0.0745 0.4215 0.2229 N
0.2735 0.2735 0.7790 N
0.4215 0.0745 0.2229 N
0.5785 0.9255 0.7771 N
0.7265 0.7265 0.2210 N
0.9255 0.5785 0.7771 N
```

Properties
energy relative to the elements, uncorrected	-1.581	eV/atom
total magnetic moment	0.00	μB per atom
V	192.4	Å³/cell
ρ	9677	kg/m3